Record 1
Rb2ZnAgHg | PBE | relaxed

abc: 6.690 6.690 5.062
angles: 90.00 90.00 90.00
Element x y z (fractional)
Rb: 0.000 0.500 0.000
Rb: 0.500 0.000 0.000
Zn: 0.000 0.000 0.500
Ag: 0.000 0.000 0.000
Hg: 0.500 0.500 0.500

Calculated values
* final energy: -5.98 eV per cell
* calculated volume: 226.6 Å³/cell
* space-group type: No. 123
* total moment: 0.05 μB per atom

Record 2
Tl6Se3O | PBE | relaxed

abc: 11.629 4.386 12.951
angles: 90.00 105.51 90.00
Element x y z (fractional)
Tl: 0.029 0.250 0.386
Tl: 0.102 0.250 0.948
Tl: 0.302 0.750 0.297
Tl: 0.383 0.750 0.060
Tl: 0.398 0.750 0.734
Tl: 0.399 0.250 0.541
Tl: 0.601 0.750 0.459
Tl: 0.602 0.250 0.266
Tl: 0.617 0.250 0.940
Tl: 0.698 0.250 0.703
Tl: 0.898 0.750 0.052
Tl: 0.971 0.750 0.614
Se: 0.051 0.250 0.186
Se: 0.156 0.750 0.508
Se: 0.344 0.250 0.899
Se: 0.656 0.750 0.101
Se: 0.844 0.250 0.492
Se: 0.949 0.750 0.814
O: 0.444 0.250 0.378
O: 0.556 0.750 0.622

Calculated values
* calculated volume: 636.4 Å³/cell
* space-group type: No. 11
* formation energy (no corrections): -325 meV per atom
* total moment: 0.00 μB per atom

Record 3
InSn2HgTe4 | PBE | relaxed

abc: 7.633 4.487 7.747
angles: 90.00 109.62 90.00
Element x y z (fractional)
In: 0.000 0.000 0.000
Sn: 0.500 0.000 0.500
Sn: 0.500 0.500 0.000
Hg: 0.000 0.500 0.500
Te: 0.248 0.500 0.248
Te: 0.249 0.000 0.750
Te: 0.751 0.000 0.250
Te: 0.752 0.500 0.752

Calculated values
* calculated volume: 249.9 Å³/cell
* space-group type: No. 10
* formation energy (no corrections): -210 meV per atom
* total moment: 0.00 μB per atom

Record 4
LaPtCl | PBE | relaxed

abc: 4.717 4.717 4.717
angles: 60.00 60.00 60.00
Element x y z (fractional)
La: 0.000 0.000 0.000
Pt: 0.500 0.500 0.500
Cl: 0.750 0.750 0.750

Calculated values
* distance to the lowest polymorph of the same formula: 670 meV per atom
* calculated volume: 74.2 Å³/cell
* space-group type: No. 216
* formation energy (no corrections): -998 meV per atom
* total moment: 0.00 μB per atom